! PBE VTcB2, optimized geometry; values from VASP
! Polymorph energy (0 for the lowest one) = 650 meV per atom
&SYSTEM
  ibrav = 0, nat = 4, ntyp = 3
/
ATOMIC_SPECIES
Tc 98.00 Tc.upf
V 50.94 V.upf
B 10.81 B.upf
CELL_PARAMETERS angstrom
0.000 2.696 2.696
2.696 0.000 2.696
2.696 2.696 0.000
ATOMIC_POSITIONS crystal
Tc 0.500 0.500 0.500
V 0.000 0.000 0.000
B 0.750 0.750 0.750
B 0.250 0.250 0.250